The following is a PBE calculation of a relaxed structure of Zn3Ir2Au, from Alexandria.

Calculated values
- Energy above the most stable polymorph in this dataset: 38 meV/atom
- Calculated formation energy: -0.894 eV/f.u.

Structure (CIF):
```
data_Zn3Ir2Au
_chemical_formula_sum 'Zn3 Ir2 Au1'
_symmetry_space_group_name_H-M 'P 4/m m m'
_symmetry_Int_Tables_number 123
_symmetry_space_group_name_Hall '-P 4 2'
_cell_length_a 2.9203
_cell_length_b 2.9203
_cell_length_c 10.4246
_cell_angle_alpha 90.00
_cell_angle_beta 90.00
_cell_angle_gamma 90.00
loop_
_atom_site_label
_atom_site_fract_x
_atom_site_fract_y
_atom_site_fract_z
Zn1 0.0000 0.0000 0.0000
Zn2 0.0000 0.0000 0.3155
Ir1 0.5000 0.5000 0.1598
Au1 0.5000 0.5000 0.5000
```